Run a
BaZrFe3: optimized geometry, PBE-GGA.

The calculation puts the density at 5.30 g cm⁻³.

It has space group Pm-3m (No. 221), with a = 4.987 Å, b = 4.987 Å, c = 4.987 Å, α = 90.00°, β = 90.00° and γ = 90.00°. The asymmetric unit holds Ba at (0.000, 0.000, 0.000), Zr at (0.500, 0.500, 0.500) and Fe at (0.000, 0.500, 0.500).


Run b
BaZrFe3: optimized geometry, PBE-GGA.

The calculation puts the density at 5.80 g cm⁻³.

It has space group Pm-3m (No. 221), with a = 4.842 Å, b = 4.842 Å, c = 4.842 Å, α = 90.00°, β = 90.00° and γ = 90.00°. The asymmetric unit holds Ba at (0.000, 0.000, 0.000), Zr at (0.500, 0.500, 0.500) and Fe at (0.000, 0.000, 0.500).


Stability verdict: run a, ahead by 1075 meV per atom


Run a
BaGa5: optimized geometry, PBE-GGA.

The calculation puts the density at 5.68 g cm⁻³.

It has space group Cmmm (No. 65), with a = 4.689 Å, b = 12.847 Å, c = 4.720 Å, α = 90.00°, β = 90.00° and γ = 90.00°. The asymmetric unit holds Ba at (0.000, 0.000, 0.000), Ga at (0.000, 0.184, 0.500), Ga at (0.000, 0.309, 0.000) and Ga at (0.000, 0.500, 0.500).


Run b
BaGa5: optimized geometry, PBE-GGA.

The calculation puts the density at 5.79 g cm⁻³.

It has space group C2/m (No. 12), with a = 8.112 Å, b = 4.683 Å, c = 7.342 Å, α = 90.00°, β = 90.07° and γ = 90.00°. The asymmetric unit holds Ba at (0.000, 0.000, 0.000), Ga at (0.000, 0.000, 0.500), Ga at (0.166, 0.500, 0.685) and Ga at (0.167, 0.500, 0.315).


Stability verdict: run b, ahead by 147 meV per atom


Run a
Ba5Ga: optimized geometry, PBE-GGA.

The calculation puts the density at 4.08 g cm⁻³.

It has space group Cmmm (No. 65), with a = 4.682 Å, b = 20.173 Å, c = 6.519 Å, α = 90.00°, β = 90.00° and γ = 90.00°. The asymmetric unit holds Ba at (0.000, 0.000, 0.000), Ba at (0.000, 0.133, 0.500), Ba at (0.000, 0.330, 0.000) and Ga at (0.000, 0.500, 0.500).


Run b
Ba5Ga: optimized geometry, PBE-GGA.

The calculation puts the density at 3.93 g cm⁻³.

It has space group P4/mmm (No. 123), with a = 4.247 Å, b = 4.247 Å, c = 17.740 Å, α = 90.00°, β = 90.00° and γ = 90.00°. The asymmetric unit holds Ba at (0.000, 0.000, 0.000), Ba at (0.000, 0.000, 0.393), Ba at (0.500, 0.500, 0.192) and Ga at (0.500, 0.500, 0.500).


Stability verdict: run b, ahead by 91 meV per atom


Run a
Ba3Ga2Ge3: optimized geometry, PBE-GGA.

The calculation puts the density at 5.00 g cm⁻³.

It has space group Cmcm (No. 63), with a = 4.676 Å, b = 12.323 Å, c = 17.752 Å, α = 90.00°, β = 90.00° and γ = 90.00°. The asymmetric unit holds Ba at (0.000, 0.150, 0.065), Ba at (0.000, 0.158, 0.750), Ga at (0.000, 0.462, 0.680), Ge at (0.000, 0.131, 0.250) and Ge at (0.000, 0.434, 0.058).


Run b
Ba3Ga2Ge3: optimized geometry, PBE-GGA.

The calculation puts the density at 5.47 g cm⁻³.

It has space group Cmcm (No. 63), with a = 4.699 Å, b = 12.825 Å, c = 15.507 Å, α = 90.00°, β = 90.00° and γ = 90.00°. The asymmetric unit holds Ba at (0.000, 0.073, 0.104), Ba at (0.000, 0.353, 0.250), Ga at (0.000, 0.233, 0.599), Ge at (0.000, 0.344, 0.750) and Ge at (0.000, 0.346, 0.043).


Stability verdict: run b, ahead by 83 meV per atom


Run a
Ba3Ga3Ge2: optimized geometry, PBE-GGA.

The calculation puts the density at 5.45 g cm⁻³.

It has space group Cmcm (No. 63), with a = 4.510 Å, b = 12.928 Å, c = 16.030 Å, α = 90.00°, β = 90.00° and γ = 90.00°. The asymmetric unit holds Ba at (0.000, 0.062, 0.101), Ba at (0.000, 0.353, 0.250), Ga at (0.000, 0.340, 0.038), Ga at (0.000, 0.363, 0.750) and Ge at (0.000, 0.236, 0.610).


Run b
Ba3Ga3Ge2: optimized geometry, PBE-GGA.

The calculation puts the density at 5.26 g cm⁻³.

It has space group Cmcm (No. 63), with a = 4.411 Å, b = 12.857 Å, c = 17.055 Å, α = 90.00°, β = 90.00° and γ = 90.00°. The asymmetric unit holds Ba at (0.000, 0.026, 0.250), Ba at (0.000, 0.335, 0.094), Ga at (0.000, 0.070, 0.050), Ga at (0.000, 0.252, 0.750) and Ge at (0.000, 0.372, 0.618).


Stability verdict: run b, ahead by 30 meV per atom


Run a
BaGa2Ge: optimized geometry, PBE-GGA.

The calculation puts the density at 5.45 g cm⁻³.

It has space group R-3m (No. 166, hexagonal axes), with a = 4.4682 Å, b = 4.4682 Å, c = 18.4766 Å, α = 90.00°, β = 90.00° and γ = 120.00°. The asymmetric unit holds Ba at (0.0000, 0.0000, 0.0000), Ga at (0.0000, 0.0000, 0.2175) and Ge at (0.0000, 0.0000, 0.5000).


Run b
BaGa2Ge: optimized geometry, PBE-GGA.

The calculation puts the density at 5.60 g cm⁻³.

It has space group Fm-3m (No. 225), with a = 7.454 Å, b = 7.454 Å, c = 7.454 Å, α = 90.00°, β = 90.00° and γ = 90.00°. The asymmetric unit holds Ba at (0.000, 0.000, 0.000), Ga at (0.250, 0.250, 0.250) and Ge at (0.000, 0.000, 0.500).


Stability verdict: run a, ahead by 221 meV per atom